Entry 1:
! PBE Ce2HoC2Br2, relaxed; values from VASP
! final energy: -43.0 eV/cell
! size of the total moment: 1.07 Bohr magnetons per cell
! calculated density: 6.609 g cm⁻³
! D(E_F): 6.914 states/eV/cell
! calculated volume: 158.0 Å³/cell
&SYSTEM
  ibrav = 0, nat = 7, ntyp = 4
/
ATOMIC_SPECIES
Ce 140.12 Ce.upf
Ho 164.93 Ho.upf
C 12.01 C.upf
Br 79.90 Br.upf
ATOMIC_POSITIONS angstrom
Ce 1.147 -4.272 4.230
Ce -2.841 -1.918 0.832
Ho 0.000 0.000 0.000
C -1.177 -1.537 -1.233
C -1.922 0.583 1.110
Br 0.546 -2.033 2.013
Br -2.240 -4.157 3.049
CELL_PARAMETERS angstrom
-3.845 1.165 2.220
-2.355 -3.073 -2.465
4.506 -4.282 5.307


Entry 2:
! PBE LaCeCBr, relaxed; values from VASP
! final energy: -25.2 eV/cell
! size of the total moment: 0.54 Bohr magnetons per cell
! calculated density: 6.506 g cm⁻³
! D(E_F): 4.689 states/eV/cell
! calculated volume: 94.7 Å³/cell
&SYSTEM
  ibrav = 0, nat = 4, ntyp = 4
/
ATOMIC_SPECIES
La 138.91 La.upf
Ce 140.12 Ce.upf
C 12.01 C.upf
Br 79.90 Br.upf
ATOMIC_POSITIONS angstrom
La 0.358 -0.239 5.202
Ce -1.531 3.036 0.364
C -1.534 0.852 6.742
Br 2.249 0.854 2.726
CELL_PARAMETERS angstrom
3.785 0.002 0.000
-1.890 3.276 0.000
-1.892 -1.094 7.633


Entry 3:
! PBE La2CeC2Br2, relaxed; values from VASP
! final energy: -42.9 eV/cell
! size of the total moment: 0.00 Bohr magnetons per cell
! calculated density: 5.794 g cm⁻³
! D(E_F): 3.560 states/eV/cell
! calculated volume: 172.4 Å³/cell
&SYSTEM
  ibrav = 0, nat = 7, ntyp = 4
/
ATOMIC_SPECIES
La 138.91 La.upf
Ce 140.12 Ce.upf
C 12.01 C.upf
Br 79.90 Br.upf
ATOMIC_POSITIONS angstrom
La 0.000 0.000 6.346
La 2.333 2.333 1.573
Ce 0.000 0.000 0.000
C 0.000 2.333 0.000
C 2.333 0.000 0.000
Br 0.000 0.000 3.040
Br 2.333 2.333 4.878
CELL_PARAMETERS angstrom
4.667 0.000 0.000
0.000 4.667 0.000
-2.333 -2.333 7.919